The following is a PBE calculation of Tb4In5S13 after structural relaxation, from OQMD.

a b c (Å): 11.9041 21.5364 3.8731
angles (deg): 90.00 90.00 90.00
Fractional positions:
In (0.0000, 0.0000, 0.0000)
In (0.5000, 0.5000, 0.0000)
In (0.3462, 0.0072, 0.5000)
In (0.8423, 0.1686, 0.5000)
In (0.3423, 0.3314, 0.5000)
In (0.8462, 0.4928, 0.5000)
In (0.1538, 0.5072, 0.5000)
In (0.6577, 0.6686, 0.5000)
In (0.1577, 0.8314, 0.5000)
In (0.6538, 0.9928, 0.5000)
S (0.5000, 0.0000, 0.0000)
S (0.2035, 0.0265, 0.0000)
S (0.8337, 0.2407, 0.0000)
S (0.3337, 0.2593, 0.0000)
S (0.7035, 0.4735, 0.0000)
S (0.0000, 0.5000, 0.0000)
S (0.2965, 0.5265, 0.0000)
S (0.6663, 0.7407, 0.0000)
S (0.1663, 0.7593, 0.0000)
S (0.7965, 0.9735, 0.0000)
S (0.0028, 0.0928, 0.5000)
S (0.6544, 0.1151, 0.5000)
S (0.3510, 0.1351, 0.5000)
S (0.0832, 0.2374, 0.5000)
S (0.5832, 0.2626, 0.5000)
S (0.8510, 0.3649, 0.5000)
S (0.1544, 0.3849, 0.5000)
S (0.5028, 0.4072, 0.5000)
S (0.4972, 0.5928, 0.5000)
S (0.8456, 0.6151, 0.5000)
S (0.1490, 0.6351, 0.5000)
S (0.4168, 0.7374, 0.5000)
S (0.9168, 0.7626, 0.5000)
S (0.6490, 0.8649, 0.5000)
S (0.3456, 0.8849, 0.5000)
S (0.9972, 0.9072, 0.5000)
Tb (0.1752, 0.1590, 0.0000)
Tb (0.5172, 0.1737, 0.0000)
Tb (0.0172, 0.3263, 0.0000)
Tb (0.6752, 0.3410, 0.0000)
Tb (0.3248, 0.6590, 0.0000)
Tb (0.9828, 0.6737, 0.0000)
Tb (0.4828, 0.8263, 0.0000)
Tb (0.8248, 0.8410, 0.0000)

V   993.0 Å³/cell
Energy   -5.10 eV/atom